# PBE BaNi3I, relaxed
data_BaNi3I
_chemical_formula_sum 'Ba1 Ni3 I1'
_symmetry_space_group_name_H-M 'P 1'
_symmetry_Int_Tables_number 1
_cell_length_a 4.8400
_cell_length_b 4.8400
_cell_length_c 4.8400
_cell_angle_alpha 90.00
_cell_angle_beta 90.00
_cell_angle_gamma 90.00
loop_
_symmetry_equiv_pos_as_xyz
'x,y,z'
loop_
_atom_site_label
_atom_site_type_symbol
_atom_site_fract_x
_atom_site_fract_y
_atom_site_fract_z
Ba1 Ba 0.0000 0.0000 0.0000
Ni1 Ni 0.0000 0.5000 0.5000
Ni2 Ni 0.5000 0.0000 0.5000
Ni3 Ni 0.5000 0.5000 0.0000
I1 I 0.5000 0.5000 0.5000
# **Total DFT energy (no corrections)**: -18.37 eV per formula unit
# **Energy relative to the elements, uncorrected**: 0.49 eV per atom
# **Polymorph energy (0 for the lowest one)**: 0.0 meV/atom
# **Volume**: 22.68 A^3/atom

***

# PBE BaNi2I, relaxed
data_BaNi2I
_chemical_formula_sum 'Ba1 Ni2 I1'
_symmetry_space_group_name_H-M 'P 1'
_symmetry_Int_Tables_number 1
_cell_length_a 5.0158
_cell_length_b 5.0158
_cell_length_c 5.0158
_cell_angle_alpha 60.00
_cell_angle_beta 60.00
_cell_angle_gamma 60.00
loop_
_symmetry_equiv_pos_as_xyz
'x,y,z'
loop_
_atom_site_label
_atom_site_type_symbol
_atom_site_fract_x
_atom_site_fract_y
_atom_site_fract_z
Ba1 Ba 0.0000 0.0000 0.0000
Ni1 Ni 0.2500 0.2500 0.2500
Ni2 Ni 0.7500 0.7500 0.7500
I1 I 0.5000 0.5000 0.5000
# **Total DFT energy (no corrections)**: -13.28 eV per formula unit
# **Energy relative to the elements, uncorrected**: 0.44 eV per atom
# **Polymorph energy (0 for the lowest one)**: 411.8 meV/atom
# **Volume**: 22.31 A^3/atom

***

# PBE Ba2NiI, relaxed
data_Ba2NiI
_chemical_formula_sum 'Ba2 Ni1 I1'
_symmetry_space_group_name_H-M 'P 1'
_symmetry_Int_Tables_number 1
_cell_length_a 5.8248
_cell_length_b 5.8248
_cell_length_c 5.8248
_cell_angle_alpha 60.00
_cell_angle_beta 60.00
_cell_angle_gamma 60.00
loop_
_symmetry_equiv_pos_as_xyz
'x,y,z'
loop_
_atom_site_label
_atom_site_type_symbol
_atom_site_fract_x
_atom_site_fract_y
_atom_site_fract_z
Ba1 Ba 0.2500 0.2500 0.2500
Ba2 Ba 0.7500 0.7500 0.7500
Ni1 Ni 0.0000 0.0000 0.0000
I1 I 0.5000 0.5000 0.5000
# **Total DFT energy (no corrections)**: -12.59 eV per formula unit
# **Energy relative to the elements, uncorrected**: -0.35 eV per atom
# **Polymorph energy (0 for the lowest one)**: 269.8 meV/atom
# **Volume**: 34.94 A^3/atom

***

# PBE BaNiI2, relaxed
data_BaNiI2
_chemical_formula_sum 'Ba2 Ni2 I4'
_symmetry_space_group_name_H-M 'P 1'
_symmetry_Int_Tables_number 1
_cell_length_a 6.8811
_cell_length_b 6.8811
_cell_length_c 6.8811
_cell_angle_alpha 107.46
_cell_angle_beta 107.46
_cell_angle_gamma 113.57
loop_
_symmetry_equiv_pos_as_xyz
'x,y,z'
loop_
_atom_site_label
_atom_site_type_symbol
_atom_site_fract_x
_atom_site_fract_y
_atom_site_fract_z
Ba1 Ba 0.0000 0.0000 0.0000
Ba2 Ba 0.7500 0.2500 0.5000
Ni1 Ni 0.2500 0.7500 0.5000
Ni2 Ni 0.5000 0.5000 0.0000
I1 I 0.2188 0.6250 0.0938
I2 I 0.3750 0.4688 0.5938
I3 I 0.5312 0.1250 0.9062
I4 I 0.8750 0.7812 0.4062
# **Total DFT energy (no corrections)**: -13.71 eV per formula unit
# **Energy relative to the elements, uncorrected**: -0.73 eV per atom
# **Polymorph energy (0 for the lowest one)**: 0.0 meV/atom
# **Volume**: 31.23 A^3/atom

***

# PBE BaNi2I, relaxed
data_BaNi2I
_chemical_formula_sum 'Ba2 Ni4 I2'
_symmetry_space_group_name_H-M 'P 1'
_symmetry_Int_Tables_number 1
_cell_length_a 9.1816
_cell_length_b 9.1816
_cell_length_c 9.1816
_cell_angle_alpha 148.10
_cell_angle_beta 148.10
_cell_angle_gamma 45.74
loop_
_symmetry_equiv_pos_as_xyz
'x,y,z'
loop_
_atom_site_label
_atom_site_type_symbol
_atom_site_fract_x
_atom_site_fract_y
_atom_site_fract_z
Ba1 Ba 0.3750 0.6250 0.7500
Ba2 Ba 0.6250 0.3750 0.2500
Ni1 Ni 0.0000 0.0000 0.0000
Ni2 Ni 0.0000 0.0000 0.5000
Ni3 Ni 0.0000 0.5000 0.0000
Ni4 Ni 0.5000 0.0000 0.5000
I1 I 0.1250 0.8750 0.2500
I2 I 0.8750 0.1250 0.7500
# **Total DFT energy (no corrections)**: -14.93 eV per formula unit
# **Energy relative to the elements, uncorrected**: 0.03 eV per atom
# **Polymorph energy (0 for the lowest one)**: 0.0 meV/atom
# **Volume**: 26.93 A^3/atom

***

# PBE BaNiI2, relaxed
data_BaNiI2
_chemical_formula_sum 'Ba1 Ni1 I2'
_symmetry_space_group_name_H-M 'P 1'
_symmetry_Int_Tables_number 1
_cell_length_a 10.0226
_cell_length_b 10.0226
_cell_length_c 10.0226
_cell_angle_alpha 24.28
_cell_angle_beta 24.28
_cell_angle_gamma 24.28
loop_
_symmetry_equiv_pos_as_xyz
'x,y,z'
loop_
_atom_site_label
_atom_site_type_symbol
_atom_site_fract_x
_atom_site_fract_y
_atom_site_fract_z
Ba1 Ba 0.0000 0.0000 0.0000
Ni1 Ni 0.5000 0.5000 0.5000
I1 I 0.1170 0.1170 0.1170
I2 I 0.8830 0.8830 0.8830
# **Total DFT energy (no corrections)**: -11.66 eV per formula unit
# **Energy relative to the elements, uncorrected**: -0.21 eV per atom
# **Polymorph energy (0 for the lowest one)**: 514.1 meV/atom
# **Volume**: 37.42 A^3/atom